Arrangement i

DFT (GGA-PBE) results for a relaxed structure of TlSiSeN2.

ρ, g/cm3: 7.14
Density of states at the Fermi level, states/eV per atom: 0.36

Cell: 3.681 3.681 5.829 Å, 90.00 90.00 90.00°
Each line ends with the local moment (μB).
Positions (direct):
1 N 0.500 0.000 0.000  0.09
2 N 0.000 0.500 0.000  0.09
3 Si 0.000 0.000 0.000  0.00
4 Tl 0.500 0.500 0.500  0.00
5 Se 0.000 0.000 0.500  0.00

Arrangement ii

DFT (GGA-PBE) results for a relaxed structure of TlSiSeN2.

ρ, g/cm3: 5.18
Density of states at the Fermi level, states/eV per atom: 0.50

Cell: 4.291 4.291 5.913 Å, 90.00 90.00 90.00°
Each line ends with the local moment (μB).
Positions (direct):
1 Tl 0.000 0.000 0.000  0.01
2 N 0.000 0.500 0.000  1.01
3 N 0.500 0.000 0.000  1.01
4 Se 0.000 0.000 0.500  0.14
5 Si 0.500 0.500 0.500  -0.09

Most stable to least stable, the ends of the list are arrangement i and arrangement ii.